w.
# PBE Tb2DyGa3, optimized geometry
# Mass density = 7.714 g cm⁻³
# Size of the total moment = 0.00 μB/f.u.
data_Tb2DyGa3
_cell_length_a 4.5534
_cell_length_b 20.9787
_cell_length_c 6.2156
_cell_angle_alpha 90.00
_cell_angle_beta 90.00
_cell_angle_gamma 90.00
_symmetry_space_group_name_H-M 'C m c m'
_symmetry_Int_Tables_number 63
_symmetry_space_group_name_Hall '-C 2c 2'
loop_
_atom_site_label
_atom_site_type_symbol
_atom_site_fract_x
_atom_site_fract_y
_atom_site_fract_z
Tb1 Tb 0.0000 0.0334 0.2500
Tb2 Tb 0.0000 0.1421 0.7500
Dy1 Dy 0.0000 0.3234 0.7500
Ga1 Ga 0.0000 0.2630 0.2500
Ga2 Ga 0.0000 0.4376 0.0445

x.
# PBE Tb2DyGa3, optimized geometry
# Mass density = 8.310 g cm⁻³
# Size of the total moment = 0.00 μB/f.u.
data_Tb2DyGa3
_cell_length_a 5.0591
_cell_length_b 5.0591
_cell_length_c 12.4327
_cell_angle_alpha 90.00
_cell_angle_beta 90.00
_cell_angle_gamma 120.00
_symmetry_space_group_name_H-M 'P -3 m 1'
_symmetry_Int_Tables_number 164
_symmetry_space_group_name_Hall '-P 3 2"'
loop_
_atom_site_label
_atom_site_type_symbol
_atom_site_fract_x
_atom_site_fract_y
_atom_site_fract_z
Tb1 Tb 0.0000 0.0000 0.0000
Tb2 Tb 0.0000 0.0000 0.5000
Tb3 Tb 0.3333 0.6667 0.1672
Dy1 Dy 0.3333 0.6667 0.6667
Ga1 Ga 0.0000 0.0000 0.2504
Ga2 Ga 0.3333 0.6667 0.4170
Ga3 Ga 0.3333 0.6667 0.9164

Stability ranking, top entry: x; the second entry is 84 meV/atom less favorable.

w.
# PBE Tb3DyGa4, optimized geometry
# Mass density = 8.299 g cm⁻³
# Size of the total moment = 0.00 μB/f.u.
data_Tb3DyGa4
_cell_length_a 5.0597
_cell_length_b 5.0597
_cell_length_c 24.8577
_cell_angle_alpha 90.00
_cell_angle_beta 90.00
_cell_angle_gamma 120.00
_symmetry_space_group_name_H-M 'R -3 m'
_symmetry_Int_Tables_number 166
_symmetry_space_group_name_Hall '-R 3 2"'
loop_
_atom_site_label
_atom_site_type_symbol
_atom_site_fract_x
_atom_site_fract_y
_atom_site_fract_z
Tb1 Tb 0.0000 0.0000 0.0000
Tb2 Tb 0.0000 0.0000 0.2499
Dy1 Dy 0.0000 0.0000 0.5000
Ga1 Ga 0.0000 0.0000 0.1252
Ga2 Ga 0.0000 0.0000 0.3752

x.
# PBE Tb3DyGa4, optimized geometry
# Mass density = 7.530 g cm⁻³
# Size of the total moment = 0.00 μB/f.u.
data_Tb3DyGa4
_cell_length_a 3.6045
_cell_length_b 6.7526
_cell_length_c 16.6382
_cell_angle_alpha 90.00
_cell_angle_beta 90.00
_cell_angle_gamma 90.00
_symmetry_space_group_name_H-M 'I m m m'
_symmetry_Int_Tables_number 71
_symmetry_space_group_name_Hall '-I 2 2'
loop_
_atom_site_label
_atom_site_type_symbol
_atom_site_fract_x
_atom_site_fract_y
_atom_site_fract_z
Tb1 Tb 0.0000 0.0000 0.0000
Tb2 Tb 0.0000 0.5000 0.2024
Dy1 Dy 0.0000 0.0000 0.5000
Ga1 Ga 0.0000 0.3072 0.3707

Stability ranking, top entry: w; the second entry is 121 meV/atom less favorable.

w.
# PBE TbDyGa4, optimized geometry
# Mass density = 8.407 g cm⁻³
# Size of the total moment = 0.00 μB/f.u.
data_TbDyGa4
_cell_length_a 7.7987
_cell_length_b 7.7987
_cell_length_c 7.7987
_cell_angle_alpha 90.00
_cell_angle_beta 90.00
_cell_angle_gamma 90.00
_symmetry_space_group_name_H-M 'F -4 3 m'
_symmetry_Int_Tables_number 216
_symmetry_space_group_name_Hall 'F -4 2 3'
loop_
_atom_site_label
_atom_site_type_symbol
_atom_site_fract_x
_atom_site_fract_y
_atom_site_fract_z
Tb1 Tb 0.0000 0.0000 0.0000
Dy1 Dy 0.2500 0.2500 0.7500
Ga1 Ga 0.1250 0.1250 0.3750

x.
# PBE TbDyGa4, optimized geometry
# Mass density = 8.111 g cm⁻³
# Size of the total moment = 0.00 μB/f.u.
data_TbDyGa4
_cell_length_a 4.2601
_cell_length_b 6.9965
_cell_length_c 8.2468
_cell_angle_alpha 90.00
_cell_angle_beta 90.00
_cell_angle_gamma 90.00
_symmetry_space_group_name_H-M 'I m m 2'
_symmetry_Int_Tables_number 44
loop_
_symmetry_equiv_pos_as_xyz
'x,y,z'
'-x,-y,z'
'-x,y,z'
'x,-y,z'
'x+1/2,y+1/2,z+1/2'
'-x+1/2,-y+1/2,z+1/2'
'-x+1/2,y+1/2,z+1/2'
'x+1/2,-y+1/2,z+1/2'
loop_
_atom_site_label
_atom_site_type_symbol
_atom_site_fract_x
_atom_site_fract_y
_atom_site_fract_z
Tb1 Tb 0.0000 0.0000 0.0000
Dy1 Dy 0.0000 0.5000 0.8791
Ga1 Ga 0.0000 0.1972 0.6014
Ga2 Ga 0.0000 0.3018 0.2785

Stability ranking, top entry: x; the second entry is 78 meV/atom less favorable.

w.
# PBE TbDyGa2, optimized geometry
# Mass density = 7.911 g cm⁻³
# Size of the total moment = 0.00 μB/f.u.
data_TbDyGa2
_cell_length_a 4.3715
_cell_length_b 4.0509
_cell_length_c 5.8829
_cell_angle_alpha 90.00
_cell_angle_beta 111.78
_cell_angle_gamma 90.00
_symmetry_space_group_name_H-M 'P 1 m 1'
_symmetry_Int_Tables_number 6
loop_
_symmetry_equiv_pos_as_xyz
'x,y,z'
'x,-y,z'
loop_
_atom_site_label
_atom_site_type_symbol
_atom_site_fract_x
_atom_site_fract_y
_atom_site_fract_z
Tb1 Tb 0.0000 0.0000 0.0000
Dy1 Dy 0.2776 0.5000 0.5571
Ga1 Ga 0.5634 0.5000 0.1264
Ga2 Ga 0.7151 0.0000 0.4325

x.
# PBE TbDyGa2, optimized geometry
# Mass density = 8.338 g cm⁻³
# Size of the total moment = 0.00 μB/f.u.
data_TbDyGa2
_cell_length_a 3.5813
_cell_length_b 3.5813
_cell_length_c 7.1564
_cell_angle_alpha 90.00
_cell_angle_beta 90.00
_cell_angle_gamma 90.00
_symmetry_space_group_name_H-M 'P 4/m m m'
_symmetry_Int_Tables_number 123
_symmetry_space_group_name_Hall '-P 4 2'
loop_
_atom_site_label
_atom_site_type_symbol
_atom_site_fract_x
_atom_site_fract_y
_atom_site_fract_z
Tb1 Tb 0.0000 0.0000 0.0000
Dy1 Dy 0.0000 0.0000 0.5000
Ga1 Ga 0.5000 0.5000 0.2520

y.
# PBE TbDyGa2, optimized geometry
# Mass density = 7.589 g cm⁻³
# Size of the total moment = 0.00 μB/f.u.
data_TbDyGa2
_cell_length_a 3.6611
_cell_length_b 3.6611
_cell_length_c 26.0623
_cell_angle_alpha 90.00
_cell_angle_beta 90.00
_cell_angle_gamma 120.00
_symmetry_space_group_name_H-M 'R -3 m'
_symmetry_Int_Tables_number 166
_symmetry_space_group_name_Hall '-R 3 2"'
loop_
_atom_site_label
_atom_site_type_symbol
_atom_site_fract_x
_atom_site_fract_y
_atom_site_fract_z
Tb1 Tb 0.0000 0.0000 0.0000
Dy1 Dy 0.0000 0.0000 0.5000
Ga1 Ga 0.0000 0.0000 0.2497

Stability ranking, top entry: w; the second entry is 41 meV/atom less favorable.

w.
# PBE Tb2DyGa6, optimized geometry
# Mass density = 7.835 g cm⁻³
# Size of the total moment = 0.00 μB/f.u.
data_Tb2DyGa6
_cell_length_a 7.2966
_cell_length_b 7.2966
_cell_length_c 4.1312
_cell_angle_alpha 90.00
_cell_angle_beta 90.00
_cell_angle_gamma 120.00
_symmetry_space_group_name_H-M 'P 6/m m m'
_symmetry_Int_Tables_number 191
_symmetry_space_group_name_Hall '-P 6 2'
loop_
_atom_site_label
_atom_site_type_symbol
_atom_site_fract_x
_atom_site_fract_y
_atom_site_fract_z
Tb1 Tb 0.3333 0.6667 0.0000
Dy1 Dy 0.0000 0.0000 0.0000
Ga1 Ga 0.0000 0.3331 0.5000

x.
# PBE Tb2DyGa6, optimized geometry
# Mass density = 7.394 g cm⁻³
# Size of the total moment = 0.00 μB/f.u.
data_Tb2DyGa6
_cell_length_a 4.3163
_cell_length_b 6.9926
_cell_length_c 13.3733
_cell_angle_alpha 90.00
_cell_angle_beta 90.00
_cell_angle_gamma 90.00
_symmetry_space_group_name_H-M 'I m m m'
_symmetry_Int_Tables_number 71
_symmetry_space_group_name_Hall '-I 2 2'
loop_
_atom_site_label
_atom_site_type_symbol
_atom_site_fract_x
_atom_site_fract_y
_atom_site_fract_z
Tb1 Tb 0.0000 0.0000 0.1263
Dy1 Dy 0.0000 0.5000 0.0000
Ga1 Ga 0.0000 0.1918 0.3165
Ga2 Ga 0.0000 0.3099 0.5000

Stability ranking, top entry: w; the second entry is 185 meV/atom less favorable.

w.
# PBE Dy2Ga3Tc, optimized geometry
# Mass density = 9.174 g cm⁻³
# Size of the total moment = 0.00 μB/f.u.
data_Dy2Ga3Tc
_cell_length_a 5.5023
_cell_length_b 5.5023
_cell_length_c 13.0931
_cell_angle_alpha 90.00
_cell_angle_beta 90.00
_cell_angle_gamma 120.00
_symmetry_space_group_name_H-M 'R -3 m'
_symmetry_Int_Tables_number 166
_symmetry_space_group_name_Hall '-R 3 2"'
loop_
_atom_site_label
_atom_site_type_symbol
_atom_site_fract_x
_atom_site_fract_y
_atom_site_fract_z
Dy1 Dy 0.0000 0.0000 0.1286
Ga1 Ga 0.0000 0.5000 0.0000
Tc1 Tc 0.0000 0.0000 0.5000

x.
# PBE Dy2Ga3Tc, optimized geometry
# Mass density = 8.332 g cm⁻³
# Size of the total moment = 0.00 μB/f.u.
data_Dy2Ga3Tc
_cell_length_a 4.6390
_cell_length_b 5.3945
_cell_length_c 10.0691
_cell_angle_alpha 90.00
_cell_angle_beta 90.00
_cell_angle_gamma 90.00
_symmetry_space_group_name_H-M 'I m m m'
_symmetry_Int_Tables_number 71
_symmetry_space_group_name_Hall '-I 2 2'
loop_
_atom_site_label
_atom_site_type_symbol
_atom_site_fract_x
_atom_site_fract_y
_atom_site_fract_z
Dy1 Dy 0.0000 0.0000 0.1999
Ga1 Ga 0.0000 0.5000 0.1231
Ga2 Ga 0.0000 0.5000 0.5000
Tc1 Tc 0.0000 0.0000 0.5000

Stability ranking, top entry: w; the second entry is 246 meV/atom less favorable.